A geometry-optimized Dy7Ho16Th6 structure, computed with GGA-PBE.

Cell and atoms, written as POSCAR:
```
Dy7Ho16Th6
1.0
0.0000 7.7928 7.7928
7.7928 0.0000 7.7928
7.7928 7.7928 0.0000
Dy Ho Th
7 16 6
direct
0.0000 0.0000 0.0000 Dy
0.0000 0.0000 0.5000 Dy
0.0000 0.5000 0.0000 Dy
0.0000 0.5000 0.5000 Dy
0.5000 0.0000 0.0000 Dy
0.5000 0.0000 0.5000 Dy
0.5000 0.5000 0.0000 Dy
0.0246 0.6585 0.6585 Ho
0.1200 0.1200 0.1200 Ho
0.1200 0.1200 0.6401 Ho
0.1200 0.6401 0.1200 Ho
0.3415 0.3415 0.3415 Ho
0.3415 0.3415 0.9754 Ho
0.3415 0.9754 0.3415 Ho
0.3599 0.8800 0.8800 Ho
0.6401 0.1200 0.1200 Ho
0.6585 0.0246 0.6585 Ho
0.6585 0.6585 0.0246 Ho
0.6585 0.6585 0.6585 Ho
0.8800 0.3599 0.8800 Ho
0.8800 0.8800 0.3599 Ho
0.8800 0.8800 0.8800 Ho
0.9754 0.3415 0.3415 Ho
0.3303 0.3303 0.6697 Th
0.3303 0.6697 0.3303 Th
0.3303 0.6697 0.6697 Th
0.6697 0.3303 0.3303 Th
0.6697 0.3303 0.6697 Th
0.6697 0.6697 0.3303 Th
```

A geometry-optimized Dy2Ho6Th structure, computed with GGA-PBE.

Cell and atoms, written as POSCAR:
```
Dy2Ho6Th
1.0
3.5577 0.0000 0.0000
-1.7788 3.0811 0.0000
0.0000 0.0000 26.0971
Dy Ho Th
2 6 1
direct
0.0000 0.0000 0.1715 Dy
0.0000 0.0000 0.8285 Dy
0.0000 0.0000 0.3891 Ho
0.0000 0.0000 0.6109 Ho
0.6667 0.3333 0.0649 Ho
0.6667 0.3333 0.2810 Ho
0.6667 0.3333 0.7190 Ho
0.6667 0.3333 0.9351 Ho
0.6667 0.3333 0.5000 Th
```

Output
Excess energy over the best structure of this formula in the dataset   0.000 eV per formula unit

A geometry-optimized Dy3Ho2Th3 structure, computed with GGA-PBE.

Cell and atoms, written as POSCAR:
```
Dy3Ho2Th3
1.0
-2.5019 2.5191 10.0787
2.5019 -2.5191 10.0787
2.5019 2.5191 -10.0787
Dy Ho Th
3 2 3
direct
0.0000 0.0000 0.0000 Dy
0.1248 0.6248 0.5000 Dy
0.8752 0.3752 0.5000 Dy
0.2500 0.2500 0.0000 Ho
0.7500 0.7500 0.0000 Ho
0.3759 0.8759 0.5000 Th
0.5000 0.5000 0.0000 Th
0.6241 0.1241 0.5000 Th
```

A geometry-optimized Dy6HoTh12 structure, computed with GGA-PBE.

Cell and atoms, written as POSCAR:
```
Dy6HoTh12
1.0
6.6702 3.8510 4.0980
-6.6702 3.8510 4.0980
0.0000 -7.7021 4.0980
Dy Ho Th
6 1 12
direct
0.1617 0.5987 0.5987 Dy
0.4013 0.4013 0.8383 Dy
0.4013 0.8383 0.4013 Dy
0.5987 0.1617 0.5987 Dy
0.5987 0.5987 0.1617 Dy
0.8383 0.4013 0.4013 Dy
0.5000 0.5000 0.5000 Ho
0.0000 0.2528 0.7472 Th
0.0000 0.7472 0.2528 Th
0.1505 0.1505 0.4173 Th
0.1505 0.4173 0.1505 Th
0.2528 0.0000 0.7472 Th
0.2528 0.7472 0.0000 Th
0.4173 0.1505 0.1505 Th
0.5827 0.8495 0.8495 Th
0.7472 0.0000 0.2528 Th
0.7472 0.2528 0.0000 Th
0.8495 0.5827 0.8495 Th
0.8495 0.8495 0.5827 Th
```

A geometry-optimized Dy3Ho8Th3 structure, computed with GGA-PBE.

Cell and atoms, written as POSCAR:
```
Dy3Ho8Th3
1.0
-2.8114 5.3279 7.4481
2.8114 -5.3279 7.4481
2.8114 5.3279 -7.4481
Dy Ho Th
3 8 3
direct
0.0000 0.0000 0.0000 Dy
0.3060 0.0000 0.3060 Dy
0.6940 0.0000 0.6940 Dy
0.0562 0.3970 0.6593 Ho
0.0649 0.2235 0.8414 Ho
0.2623 0.6030 0.6593 Ho
0.3820 0.2235 0.1586 Ho
0.6180 0.7765 0.8414 Ho
0.7377 0.3970 0.3407 Ho
0.9351 0.7765 0.1586 Ho
0.9438 0.6030 0.3407 Ho
0.3150 0.8150 0.5000 Th
0.5000 0.5000 0.0000 Th
0.6850 0.1850 0.5000 Th
```

A geometry-optimized Dy2Ho12Th5 structure, computed with GGA-PBE.

Cell and atoms, written as POSCAR:
```
Dy2Ho12Th5
1.0
9.3024 -3.5125 0.0000
9.3024 3.5125 0.0000
-4.0050 0.0000 9.3607
Dy Ho Th
2 12 5
direct
0.2160 0.7840 0.0000 Dy
0.7840 0.2160 0.0000 Dy
0.0041 0.0041 0.3241 Ho
0.0845 0.5821 0.4831 Ho
0.0965 0.5888 0.1370 Ho
0.4112 0.9035 0.8630 Ho
0.4179 0.9155 0.5169 Ho
0.4717 0.4717 0.7621 Ho
0.5283 0.5283 0.2379 Ho
0.5821 0.0845 0.4831 Ho
0.5888 0.0965 0.1370 Ho
0.9035 0.4112 0.8630 Ho
0.9155 0.4179 0.5169 Ho
0.9959 0.9959 0.6759 Ho
0.1784 0.1784 0.2096 Th
0.3137 0.3137 0.8197 Th
0.5000 0.5000 0.5000 Th
0.6863 0.6863 0.1803 Th
0.8216 0.8216 0.7904 Th
```

Output
Excess energy over the best structure of this formula in the dataset   1.178 eV per formula unit

A geometry-optimized Dy8Ho3Th2 structure, computed with GGA-PBE.

Cell and atoms, written as POSCAR:
```
Dy8Ho3Th2
1.0
6.1264 0.0000 0.0000
1.6586 7.4515 0.0000
2.8941 0.6618 18.3161
Dy Ho Th
16 6 4
direct
0.0008 0.0204 0.3221 Dy
0.1121 0.5558 0.0761 Dy
0.1136 0.5316 0.7394 Dy
0.2313 0.0947 0.8154 Dy
0.3340 0.6594 0.8876 Dy
0.3678 0.6476 0.5614 Dy
0.4458 0.2173 0.9632 Dy
0.4489 0.1784 0.6139 Dy
0.5511 0.8216 0.3861 Dy
0.5542 0.7827 0.0368 Dy
0.6322 0.3524 0.4386 Dy
0.6660 0.3406 0.1124 Dy
0.7687 0.9053 0.1846 Dy
0.8864 0.4684 0.2606 Dy
0.8879 0.4442 0.9239 Dy
0.9992 0.9796 0.6779 Dy
0.0000 0.0000 0.0000 Ho
0.0000 0.0000 0.5000 Ho
0.3332 0.6849 0.2261 Ho
0.4315 0.2437 0.2902 Ho
0.5685 0.7563 0.7098 Ho
0.6668 0.3151 0.7739 Ho
0.0898 0.5683 0.4143 Th
0.2207 0.1201 0.1467 Th
0.7793 0.8799 0.8533 Th
0.9102 0.4317 0.5857 Th
```

Output
Excess energy over the best structure of this formula in the dataset   0.000 eV per formula unit

A geometry-optimized Dy6Ho3Th structure, computed with GGA-PBE.

Cell and atoms, written as POSCAR:
```
Dy6Ho3Th
1.0
3.6788 -9.3431 0.0000
3.6788 9.3431 0.0000
0.0000 0.0000 9.3442
Dy Ho Th
12 6 2
direct
0.0374 0.9626 0.5000 Dy
0.0659 0.4395 0.9566 Dy
0.1918 0.3128 0.7051 Dy
0.2895 0.7105 0.6555 Dy
0.3128 0.1918 0.2051 Dy
0.4395 0.0659 0.4566 Dy
0.5605 0.9341 0.9566 Dy
0.6872 0.8082 0.7051 Dy
0.7105 0.2895 0.1555 Dy
0.8082 0.6872 0.2051 Dy
0.9341 0.5605 0.4566 Dy
0.9626 0.0374 0.0000 Dy
0.1251 0.3748 0.3286 Ho
0.3748 0.1251 0.8286 Ho
0.4619 0.5381 0.0021 Ho
0.5381 0.4619 0.5021 Ho
0.6252 0.8749 0.3286 Ho
0.8749 0.6252 0.8286 Ho
0.2102 0.7898 0.1580 Th
0.7898 0.2102 0.6580 Th
```

Output
Excess energy over the best structure of this formula in the dataset   0.000 eV per formula unit

A geometry-optimized Dy5Ho12Th2 structure, computed with GGA-PBE.

Cell and atoms, written as POSCAR:
```
Dy5Ho12Th2
1.0
7.7749 -4.6672 0.0000
7.7749 4.6672 0.0000
-0.2379 0.0000 8.4818
Dy Ho Th
5 12 2
direct
0.0000 0.0000 0.0000 Dy
0.2320 0.2320 0.0745 Dy
0.3033 0.3033 0.4852 Dy
0.6967 0.6967 0.5148 Dy
0.7680 0.7680 0.9255 Dy
0.0264 0.6680 0.2578 Ho
0.0854 0.0854 0.3821 Ho
0.1808 0.5644 0.8410 Ho
0.3320 0.9736 0.7422 Ho
0.4356 0.8192 0.1590 Ho
0.4424 0.4424 0.1733 Ho
0.5576 0.5576 0.8267 Ho
0.5644 0.1808 0.8410 Ho
0.6680 0.0264 0.2578 Ho
0.8192 0.4356 0.1590 Ho
0.9146 0.9146 0.6179 Ho
0.9736 0.3320 0.7422 Ho
0.3220 0.6780 0.5000 Th
0.6780 0.3220 0.5000 Th
```

A geometry-optimized Dy4Ho5Th structure, computed with GGA-PBE.

Cell and atoms, written as POSCAR:
```
Dy4Ho5Th
1.0
5.8449 -2.7066 0.0000
5.8449 2.7066 0.0000
-0.1311 0.0000 10.2863
Dy Ho Th
4 5 1
direct
0.0474 0.0474 0.2516 Dy
0.3269 0.3269 0.2505 Dy
0.6731 0.6731 0.7495 Dy
0.9526 0.9526 0.7484 Dy
0.1923 0.1923 0.9377 Ho
0.1960 0.1960 0.5668 Ho
0.5000 0.5000 0.5000 Ho
0.8040 0.8040 0.4332 Ho
0.8077 0.8077 0.0623 Ho
0.5000 0.5000 0.0000 Th
```

Output
Excess energy over the best structure of this formula in the dataset   0.000 eV per formula unit

A geometry-optimized Dy7Ho12Th structure, computed with GGA-PBE.

Cell and atoms, written as POSCAR:
```
Dy7Ho12Th
1.0
-5.5998 5.5998 5.5998
5.5998 -5.5998 5.5998
5.5998 5.5998 -5.5998
Dy Ho Th
7 12 1
direct
0.0000 0.0000 0.5000 Dy
0.0000 0.5000 0.0000 Dy
0.0000 0.5000 0.5000 Dy
0.5000 0.0000 0.0000 Dy
0.5000 0.0000 0.5000 Dy
0.5000 0.5000 0.0000 Dy
0.5000 0.5000 0.5000 Dy
0.0000 0.2460 0.7540 Ho
0.0000 0.7540 0.2460 Ho
0.2460 0.0000 0.7540 Ho
0.2460 0.2460 0.4921 Ho
0.2460 0.4921 0.2460 Ho
0.2460 0.7540 0.0000 Ho
0.4921 0.2460 0.2460 Ho
0.5079 0.7540 0.7540 Ho
0.7540 0.0000 0.2460 Ho
0.7540 0.2460 0.0000 Ho
0.7540 0.5079 0.7540 Ho
0.7540 0.7540 0.5079 Ho
0.0000 0.0000 0.0000 Th
```

Output
Excess energy over the best structure of this formula in the dataset   10.214 eV per formula unit

A geometry-optimized Dy3Ho6Th structure, computed with GGA-PBE.

Cell and atoms, written as POSCAR:
```
Dy3Ho6Th
1.0
4.8860 2.8209 3.9138
-4.8860 2.8209 3.9138
0.0000 -5.6418 3.9138
Dy Ho Th
3 6 1
direct
0.0000 0.0000 0.0000 Dy
0.2423 0.2423 0.2423 Dy
0.7577 0.7577 0.7577 Dy
0.0000 0.6655 0.3345 Ho
0.1686 0.5000 0.8314 Ho
0.3345 0.0000 0.6655 Ho
0.5000 0.8314 0.1686 Ho
0.6655 0.3345 0.0000 Ho
0.8314 0.1686 0.5000 Ho
0.5000 0.5000 0.5000 Th
```

Output
Excess energy over the best structure of this formula in the dataset   2.258 eV per formula unit

Number 1: DFT total energy -4.8584 eV/atom, ΔE_f 0.313 eV per atom. Number 2: DFT total energy -4.8389 eV/atom, ΔE_f 0.060 eV per atom. Number 3: DFT total energy -5.6103 eV/atom, ΔE_f 0.042 eV per atom. Number 4: DFT total energy -6.1340 eV/atom, ΔE_f 0.246 eV per atom. Number 5: DFT total energy -5.0382 eV/atom, ΔE_f 0.154 eV per atom. Number 6: DFT total energy -5.1118 eV/atom, ΔE_f 0.216 eV per atom. Number 7: DFT total energy -4.9163 eV/atom, ΔE_f 0.114 eV per atom. Number 8: DFT total energy -4.7489 eV/atom, ΔE_f 0.128 eV per atom. Number 9: DFT total energy -4.7338 eV/atom, ΔE_f 0.150 eV per atom. Number 10: DFT total energy -4.6776 eV/atom, ΔE_f 0.194 eV per atom. Number 11: DFT total energy -3.9757 eV/atom, ΔE_f 0.753 eV per atom. Number 12: DFT total energy -4.5679 eV/atom, ΔE_f 0.301 eV per atom.